The following is a PBE-GGA calculation of a geometry-optimized PmTe structure, from the Alexandria database.

The value obtained for the size of the total moment is 0.38 μB/f.u. The calculation puts the calculated density at 7.9 g/cm3. For the formation energy (no corrections), the calculation gives -30.037 kcal/mol of atoms. The total energy comes out at -10.5 eV for the cell shown. The calculation puts the energy above the most stable polymorph in this dataset at 0.20 eV per formula unit.

The structure belongs to space group Pm-3m (No. 221); the cell edges are 3.8561, 3.8561 and 3.8561 Å and the angles 90.00°, 90.00° and 90.00°. The inequivalent atoms are Pm at (0.0000, 0.0000, 0.0000) and Te at (0.5000, 0.5000, 0.5000).

=====

The following is a PBE-GGA calculation of a geometry-optimized Pm4Te3 structure, from the Alexandria database.

The value obtained for the size of the total moment is 0.00 μB/f.u. The calculation puts the calculated density at 6.9 g/cm3. For the formation energy (no corrections), the calculation gives -26.337 kcal/mol of atoms. The total energy comes out at -109.3 eV for the cell shown.

The structure belongs to space group R-3m (No. 166, hexagonal axes); the cell edges are 4.3101, 4.3101 and 43.0776 Å and the angles 90.00°, 90.00° and 120.00°. The inequivalent atoms are Pm at (0.0000, 0.0000, 0.1202), Pm at (0.0000, 0.0000, 0.3669), Te at (0.0000, 0.0000, 0.2561) and Te at (0.0000, 0.0000, 0.5000).

=====

The following is a PBE-GGA calculation of a geometry-optimized Pm5Te4 structure, from the Alexandria database.

The value obtained for the size of the total moment is 0.00 μB/f.u. The calculation puts the calculated density at 7.5 g/cm3. For the formation energy (no corrections), the calculation gives -22.055 kcal/mol of atoms. The total energy comes out at -89.9 eV for the cell shown. The calculation puts the energy above the most stable polymorph in this dataset at 1.68 eV per formula unit.

The structure belongs to space group I4/mmm (No. 139); the cell edges are 11.4836, 11.4836 and 4.1747 Å and the angles 90.00°, 90.00° and 90.00°. The inequivalent atoms are Pm at (0.0000, 0.0000, 0.0000), Pm at (0.0000, 0.3124, 0.0000) and Te at (0.1585, 0.1585, 0.5000).

=====

The following is a PBE-GGA calculation of a geometry-optimized PmTe3 structure, from the Alexandria database.

The value obtained for the size of the total moment is 0.00 μB/f.u. The calculation puts the calculated density at 7.0 g/cm3. For the formation energy (no corrections), the calculation gives -15.665 kcal/mol of atoms. The total energy comes out at -16.9 eV for the cell shown.

The structure belongs to space group Pmm2 (No. 25); the cell edges are 4.3428, 6.1844 and 4.6431 Å and the angles 90.00°, 90.00° and 90.00°. The inequivalent atoms are Pm at (0.0000, 0.0000, 0.0000), Te at (0.0000, 0.5000, 0.3255), Te at (0.5000, 0.0000, 0.4740) and Te at (0.5000, 0.5000, 0.8424).